{
  "formula": "Pr5Y8Er",
  "functional": "PBE-GGA",
  "state": "optimized geometry",
  "lattice": [[-3.8164, -2.2378, 7.3197], [-3.8216, -3.7318, -6.6713], [8.1671, -2.4696, 0.5916]],
  "species": ["Pr", "Pr", "Pr", "Pr", "Pr", "Y", "Y", "Y", "Y", "Y", "Y", "Y", "Y", "Er"],
  "frac_coords": [[0.8637, 0.8944, 0.1891], [0.5000, 0.0000, 0.5000], [0.2947, 0.1056, 0.9693], [0.8114, 0.6749, 0.7055], [0.0306, 0.3251, 0.1365], [0.5695, 0.9062, 0.8307], [0.6653, 0.3972, 0.9194], [0.0806, 0.7460, 0.4778], [0.3372, 0.2618, 0.4306], [0.9245, 0.0938, 0.6632], [0.7318, 0.2540, 0.3346], [0.1688, 0.7382, 0.0754], [0.5222, 0.6028, 0.2680], [0.2498, 0.5000, 0.7498]],
  "dft_energy_ev_per_atom": -5.49
}